## 1
A relaxed structure of LaTiAu. Source: Alexandria, functional PBE.

Cell lengths 3.595, 8.435, 4.772 Å; angles 90.00, 90.00, 102.06 degrees
Last column: magnetic moment on the atom in μB.
Positions (direct):
Ti 0.941 0.002 0.913  0.58
Ti 0.449 0.018 0.413  0.58
Au 0.069 0.263 0.413  0.01
Au 0.321 0.757 0.913  0.01
La 0.774 0.661 0.413  0.00
La 0.615 0.359 0.913  0.00

---

## 2
A relaxed structure of LaTiAu. Source: Alexandria, functional PBE.

Cell lengths 4.549, 6.031, 5.663 Å; angles 90.66, 90.00, 67.86 degrees
Positions (direct):
Ti 0.523 0.931 0.946
Ti 0.952 0.072 0.663
Au 0.375 0.225 0.468
Au 0.955 0.065 0.166
La 0.659 0.657 0.446
La 0.242 0.491 0.959

---

Top of the stability list: 1, leading by 6.0 kJ/mol of atoms.

---

## 1
A relaxed structure of LaTiAu. Source: Alexandria, functional PBE.

Cell lengths 7.984, 4.647, 7.648 Å; angles 90.00, 90.00, 90.00 degrees
Positions (direct):
Ti 0.142 0.250 0.430
Ti 0.358 0.750 0.930
Ti 0.858 0.750 0.570
Ti 0.642 0.250 0.070
Au 0.806 0.250 0.388
Au 0.694 0.750 0.888
Au 0.194 0.750 0.612
Au 0.306 0.250 0.112
La 0.016 0.250 0.836
La 0.484 0.750 0.336
La 0.984 0.750 0.164
La 0.516 0.250 0.664

---

## 2
A relaxed structure of LaTiAu. Source: Alexandria, functional PBE.

Cell lengths 4.557, 7.097, 4.557 Å; angles 89.99, 90.00, 90.01 degrees
Last column: magnetic moment on the atom in μB.
Positions (direct):
Ti 0.964 0.010 0.913  0.20
Ti 0.464 0.010 0.413  0.20
Au 0.964 0.213 0.413  0.01
Au 0.464 0.807 0.913  0.01
La 0.965 0.645 0.413  -0.01
La 0.465 0.375 0.913  -0.01

---

Top of the stability list: 2, leading by 2.6 kJ/mol of atoms.

---

## 1
A relaxed structure of LaTiAu. Source: Alexandria, functional PBE.

Cell lengths 4.321, 6.031, 5.976 Å; angles 89.99, 90.01, 111.04 degrees
Positions (direct):
Ti 0.800 0.886 0.997
Ti 0.923 0.133 0.497
Au 0.362 0.010 0.247
Au 0.361 0.010 0.747
La 0.657 0.601 0.497
La 0.066 0.418 0.997

---

## 2
A relaxed structure of LaTiAu. Source: Alexandria, functional PBE.

Cell lengths 3.567, 8.560, 4.821 Å; angles 73.64, 90.00, 90.21 degrees
Last column: magnetic moment on the atom in μB.
Positions (direct):
Ti 0.121 0.010 0.737  1.11
Ti 0.621 0.010 0.237  0.47
Au 0.124 0.261 0.111  0.02
Au 0.119 0.759 0.363  0.02
La 0.617 0.660 0.912  0.04
La 0.625 0.360 0.562  0.04

---

## 3
A relaxed structure of LaTiAu. Source: Alexandria, functional PBE.

Cell lengths 4.885, 4.885, 4.885 Å; angles 60.00, 60.00, 60.00 degrees
Last column: magnetic moment on the atom in μB.
Positions (direct):
Ti 0.250 0.250 0.250  1.40
Au 0.750 0.750 0.750  0.00
La 0.000 0.000 0.000  0.23

---

Top of the stability list: 2, leading by 11.6 kJ/mol of atoms.

---

## 1
A relaxed structure of LaTiAu. Source: Alexandria, functional PBE.

Cell lengths 7.581, 3.245, 11.309 Å; angles 90.00, 90.00, 90.00 degrees
Positions (direct):
Ti 0.426 0.250 0.404
Ti 0.074 0.750 0.904
Ti 0.574 0.750 0.596
Ti 0.926 0.250 0.096
Au 0.845 0.250 0.695
Au 0.655 0.750 0.195
Au 0.155 0.750 0.305
Au 0.345 0.250 0.805
La 0.826 0.250 0.401
La 0.674 0.750 0.901
La 0.174 0.750 0.599
La 0.326 0.250 0.099

---

## 2
A relaxed structure of LaTiAu. Source: Alexandria, functional PBE.

Cell lengths 4.691, 4.691, 4.691 Å; angles 60.00, 60.00, 60.00 degrees
Positions (direct):
Ti 0.500 0.500 0.500
Au 0.750 0.750 0.750
La 0.250 0.250 0.250

---

Top of the stability list: 1, leading by 33.9 kJ/mol of atoms.

---

## 1
A relaxed structure of LaTiAu. Source: Alexandria, functional PBE.

Cell lengths 4.272, 4.272, 7.701 Å; angles 90.00, 90.00, 90.00 degrees
Positions (direct):
Ti 0.000 0.500 0.131
Ti 0.500 0.000 0.869
Au 0.000 0.500 0.807
Au 0.500 0.000 0.193
La 0.000 0.000 0.500
La 0.500 0.500 0.500

---

## 2
A relaxed structure of LaTiAu. Source: Alexandria, functional PBE.

Cell lengths 5.969, 4.892, 5.969 Å; angles 65.80, 87.21, 65.80 degrees
Positions (direct):
Ti 0.764 0.417 0.891
Ti 0.922 0.917 0.732
Au 0.110 0.043 0.292
Au 0.324 0.543 0.079
La 0.713 0.735 0.305
La 0.337 0.235 0.681

---

## 3
A relaxed structure of LaTiAu. Source: Alexandria, functional PBE.

Cell lengths 4.949, 5.287, 5.876 Å; angles 116.73, 90.00, 90.00 degrees
Positions (direct):
Ti 0.778 0.359 0.428
Ti 0.778 0.938 0.585
Au 0.278 0.051 0.386
Au 0.278 0.671 0.627
La 0.778 0.717 0.007
La 0.278 0.324 0.007

---

## 4
A relaxed structure of LaTiAu. Source: Alexandria, functional PBE.

Cell lengths 7.757, 8.911, 4.477 Å; angles 90.00, 90.00, 90.00 degrees
Positions (direct):
Ti 0.333 0.250 0.000
Ti 0.167 0.750 0.500
Ti 0.667 0.750 0.000
Ti 0.833 0.250 0.500
Au 0.666 0.250 0.000
Au 0.834 0.750 0.500
Au 0.334 0.750 0.000
Au 0.166 0.250 0.500
La 0.000 0.000 0.000
La 0.500 0.500 0.500
La 0.500 0.000 0.500
La 0.000 0.500 0.000

---

Top of the stability list: 2, leading by 4.0 kJ/mol of atoms.

---

## 1
A relaxed structure of LaTl3Au. Source: Alexandria, functional PBE.

Cell lengths 6.188, 6.188, 6.188 Å; angles 90.00, 90.00, 90.00 degrees
Positions (direct):
Tl 0.000 0.500 0.000
Tl 0.000 0.000 0.500
Tl 0.500 0.000 0.000
Au 0.500 0.500 0.500
La 0.000 0.000 0.000

---

## 2
A relaxed structure of LaTl3Au. Source: Alexandria, functional PBE.

Cell lengths 5.456, 5.456, 5.456 Å; angles 90.00, 90.00, 90.00 degrees
Positions (direct):
Tl 0.000 0.500 0.000
Tl 0.000 0.000 0.500
Tl 0.500 0.000 0.000
Au 0.000 0.000 0.000
La 0.500 0.500 0.500

---

Top of the stability list: 2, leading by 66.0 kJ/mol of atoms.

---

## 1
A relaxed structure of La8TlAu2. Source: Alexandria, functional PBE.

Cell lengths 5.714, 8.554, 8.554 Å; angles 115.88, 98.66, 98.66 degrees
Positions (direct):
La 0.925 0.924 0.699
La 0.925 0.699 0.924
La 0.310 0.606 0.606
La 0.500 0.760 0.240
La 0.500 0.240 0.760
La 0.690 0.394 0.394
La 0.075 0.301 0.076
La 0.075 0.076 0.301
Tl 0.500 0.000 0.000
Au 0.000 0.312 0.688
Au 0.000 0.688 0.312

---

## 2
A relaxed structure of La8TlAu2. Source: Alexandria, functional PBE.

Cell lengths 5.468, 7.031, 10.206 Å; angles 110.12, 105.53, 90.00 degrees
Positions (direct):
La 0.637 0.311 0.909
La 0.963 0.002 0.564
La 0.308 0.345 0.253
La 0.737 0.936 0.110
La 0.351 0.832 0.338
La 0.921 0.404 0.480
La 0.137 0.561 0.909
La 0.536 0.736 0.708
Tl 0.137 0.031 0.909
Au 0.797 0.582 0.230
Au 0.475 0.261 0.588

---

Top of the stability list: 2, leading by 4.7 kJ/mol of atoms.

---

## 1
A relaxed structure of La2TlAu3. Source: Alexandria, functional PBE.

Cell lengths 6.108, 6.108, 9.258 Å; angles 103.72, 103.72, 106.31 degrees
Positions (direct):
La 0.250 0.750 0.500
La 0.759 0.759 0.000
La 0.750 0.250 0.500
La 0.241 0.241 0.000
Tl 0.666 0.666 0.332
Tl 0.334 0.334 0.668
Au 0.331 0.834 0.165
Au 0.166 0.669 0.835
Au 0.669 0.166 0.835
Au 0.834 0.331 0.165
Au 0.166 0.166 0.332
Au 0.834 0.834 0.668

---

## 2
A relaxed structure of La2TlAu3. Source: Alexandria, functional PBE.

Cell lengths 4.189, 4.144, 9.898 Å; angles 102.08, 102.22, 90.00 degrees
Positions (direct):
La 0.132 0.132 0.264
La 0.854 0.354 0.707
Tl 0.457 0.957 0.913
Au 0.703 0.703 0.406
Au 0.557 0.557 0.114
Au 0.298 0.798 0.596

---

Top of the stability list: 1, leading by 5.3 kJ/mol of atoms.

---

## 1
A relaxed structure of La2TmAu2. Source: Alexandria, functional PBE.

Cell lengths 4.022, 8.350, 8.350 Å; angles 90.00, 90.00, 90.00 degrees
Positions (direct):
La 0.000 0.668 0.332
La 0.000 0.832 0.832
La 0.000 0.168 0.168
La 0.000 0.332 0.668
Tm 0.500 0.500 0.000
Tm 0.500 0.000 0.500
Au 0.500 0.368 0.368
Au 0.500 0.868 0.132
Au 0.500 0.132 0.868
Au 0.500 0.632 0.632

---

## 2
A relaxed structure of La2TmAu2. Source: Alexandria, functional PBE.

Cell lengths 3.999, 6.467, 6.467 Å; angles 67.19, 71.99, 71.99 degrees
Positions (direct):
La 0.200 0.300 0.300
La 0.800 0.700 0.700
Tm 0.000 0.000 0.000
Au 0.500 0.290 0.710
Au 0.500 0.710 0.290

---

Top of the stability list: 1, leading by 2.4 kJ/mol of atoms.

---

## 1
A relaxed structure of LaTmZnAu. Source: Alexandria, functional PBE.

Cell lengths 3.633, 3.633, 7.391 Å; angles 90.00, 90.00, 90.00 degrees
Positions (direct):
La 0.500 0.500 0.112
Tm 0.500 0.500 0.610
Zn 0.000 0.000 0.386
Au 0.000 0.000 0.819

---

## 2
A relaxed structure of LaTmZnAu. Source: Alexandria, functional PBE.

Cell lengths 5.186, 5.186, 5.186 Å; angles 60.00, 60.00, 60.00 degrees
Positions (direct):
Zn 0.000 0.000 0.000
Tm 0.750 0.750 0.750
Au 0.500 0.500 0.500
La 0.250 0.250 0.250

---

Top of the stability list: 1, leading by 3.5 kJ/mol of atoms.

---

## 1
A relaxed structure of La2VAu. Source: Alexandria, functional PBE.

Cell lengths 5.320, 5.320, 5.320 Å; angles 60.00, 60.00, 60.00 degrees
Last column: magnetic moment on the atom in μB.
Positions (direct):
La 0.250 0.250 0.250  0.04
La 0.750 0.750 0.750  0.04
Au 0.500 0.500 0.500  -0.01
V 0.000 0.000 0.000  2.56

---

## 2
A relaxed structure of La2VAu. Source: Alexandria, functional PBE.

Cell lengths 8.226, 8.226, 6.613 Å; angles 51.54, 51.54, 90.00 degrees
Last column: magnetic moment on the atom in μB.
Positions (direct):
La 0.618 0.125 0.250  -0.06
La 0.132 0.625 0.250  -0.06
La 0.375 0.382 0.750  -0.06
La 0.875 0.868 0.750  -0.06
Au 0.000 0.000 0.000  -0.01
Au 0.750 0.250 0.500  -0.01
V 0.500 0.500 0.000  2.58
V 0.250 0.750 0.500  2.58

---

Top of the stability list: 1, leading by 22.9 kJ/mol of atoms.